Computed, not measured: crystalline ScTaIr2 at its relaxed geometry at the PBE level of DFT.

abc: 2.9834 4.6219 4.8561
angles: 90.00 94.09 90.00
Space group Pm (No. 6)
Symmetry-distinct sites (fractional):
Sc  0.0000  0.0000  0.0000 (multiplicity 1)
Ta  0.9178  0.5000  0.4417 (multiplicity 1)
Ir  0.4318  0.0000  0.5221 (multiplicity 1)
Ir  0.5073  0.5000  0.9342 (multiplicity 1)

Its formation energy is -729 meV/atom. For the raw total energy, the calculation gives -38.823 eV per formula unit.